No. 1
# BeTl2P

A PBEsol-optimized structure of BeTl2P (meta-GGA SCAN, Alexandria via LeMat-Bulk).

Cell: 4.7372 4.7372 3.9573 Å, 100.87 100.87 102.46°
Last column: nearest neighbours and their distance in Å.
Fractional coordinates of all 4 atoms:
Be  0.0000  0.0000  0.0000  4 Tl 2.79, 2 P 2.97
Tl  0.0000  0.5000  0.5000  2 Be 2.79, 2 P 2.79, 2 Tl 2.97
Tl  0.5000  0.0000  0.5000  2 Be 2.79, 2 P 2.79, 2 Tl 2.97
P  0.5000  0.5000  0.0000  4 Tl 2.79, 2 Be 2.97

Output
The space group is No. 12. As for the formation enthalpy at 0 K: 700 meV/atom.

***

No. 2
# SrScAlHg2

A PBEsol-optimized structure of SrScAlHg2 (meta-GGA SCAN, Alexandria via LeMat-Bulk).

Cell: 5.1016 5.1016 5.1682 Å, 90.00 90.00 90.00°
Last column: nearest neighbours and their distance in Å.
Fractional coordinates of all 5 atoms:
Sr  0.0000  0.0000  0.0000  4 Sc 3.61, 8 Hg 3.63
Sc  0.5000  0.5000  0.0000  2 Al 2.58
Al  0.5000  0.5000  0.5000  4 Hg 2.55, 2 Sc 2.58
Hg  0.0000  0.5000  0.5000  2 Al 2.55
Hg  0.5000  0.0000  0.5000  2 Al 2.55

Output
The space group is No. 123. As for the formation enthalpy at 0 K: -89 meV/atom.

***

No. 3
# CdPb2AuN

A PBEsol-optimized structure of CdPb2AuN (meta-GGA SCAN, Alexandria via LeMat-Bulk).

Cell: 5.3226 5.3226 3.9276 Å, 90.00 90.00 90.00°
Last column: nearest neighbours and their distance in Å.
Fractional coordinates of all 5 atoms:
Cd  0.0000  0.0000  0.0000  8 Pb 3.31
Pb  0.0000  0.5000  0.5000  2 N 2.66
Pb  0.5000  0.0000  0.5000  2 N 2.66
Au  0.5000  0.5000  0.0000  2 N 1.96
N  0.5000  0.5000  0.5000  2 Au 1.96

Output
The space group is No. 123. As for the formation energy (no corrections): 0.480 eV/atom.

***

No. 4
# B3PbI

A PBEsol-optimized structure of B3PbI (meta-GGA SCAN, Alexandria via LeMat-Bulk).

Cell: 4.4580 4.4580 4.4580 Å, 90.00 90.00 90.00°
Last column: nearest neighbours and their distance in Å.
Fractional coordinates of all 5 atoms:
B  0.0000  0.0000  0.5000  2 I 2.23
B  0.0000  0.5000  0.0000  2 I 2.23
B  0.5000  0.0000  0.0000  2 I 2.23
Pb  0.5000  0.5000  0.5000  12 B 3.15
I  0.0000  0.0000  0.0000  6 B 2.23

Output
The space group is No. 221. As for the formation energy (no corrections): 2.470 eV/atom.

***

No. 5
# BeFeW

A PBEsol-optimized structure of BeFeW (meta-GGA SCAN, Alexandria via LeMat-Bulk).

Cell: 4.6846 4.6846 4.6846 Å, 145.26 145.26 49.95°
Last column: nearest neighbours and their distance in Å.
Fractional coordinates of all 3 atoms:
Be  0.0000  0.0000  0.0000  4 Fe 2.26
Fe  0.3720  0.3720  0.0000  4 Be 2.26, 4 W 2.51
W  0.6893  0.6893  0.0000  5 Fe 2.51-2.70, 5 Be 2.55-2.64, 4 W 2.80

Output
The space group is No. 107. As for the formation enthalpy at 0 K: 99 meV/atom.

***

No. 6
# CoRh2O4

A PBEsol-optimized structure of CoRh2O4 (meta-GGA SCAN, Alexandria via LeMat-Bulk).

Cell: 5.9600 5.9600 5.9600 Å, 60.00 60.00 60.00°
Last column: nearest neighbours and their distance in Å.
Fractional coordinates of all 14 atoms:
Co  0.1250  0.1250  0.1250  4 O 1.94
Co  0.8750  0.8750  0.8750  4 O 1.94
Rh  0.0000  0.5000  0.5000  6 O 2.04
Rh  0.5000  0.0000  0.5000  6 O 2.04
Rh  0.5000  0.5000  0.0000  6 O 2.04
Rh  0.5000  0.5000  0.5000  6 O 2.04
O  0.2581  0.2581  0.2581  1 Co 1.94, 3 Rh 2.04
O  0.2581  0.2581  0.7257  1 Co 1.94, 3 Rh 2.04
O  0.2581  0.7257  0.2581  1 Co 1.94, 3 Rh 2.04
O  0.2743  0.7419  0.7419  1 Co 1.94, 3 Rh 2.04
O  0.7257  0.2581  0.2581  1 Co 1.94, 3 Rh 2.04
O  0.7419  0.2743  0.7419  1 Co 1.94, 3 Rh 2.04
O  0.7419  0.7419  0.2743  1 Co 1.94, 3 Rh 2.04
O  0.7419  0.7419  0.7419  1 Co 1.94, 3 Rh 2.04

Output
The space group is No. 227. As for the formation energy (no corrections): -1.085 eV/atom.

***

No. 7
# MnRe2Sb

A PBEsol-optimized structure of MnRe2Sb (meta-GGA SCAN, Alexandria via LeMat-Bulk).

Cell: 2.9949 2.9949 6.6225 Å, 90.00 90.00 90.00°
Last column: nearest neighbours and their distance in Å.
Fractional coordinates of all 4 atoms:
Mn  0.0000  0.0000  0.0000  4 Re 2.62, 4 Sb 2.64
Re  0.0000  0.0000  0.4732  4 Re 2.65, 4 Sb 2.85
Re  0.5000  0.5000  0.2325  4 Mn 2.62, 4 Re 2.65
Sb  0.5000  0.5000  0.7620  4 Mn 2.64, 4 Re 2.85

Output
The space group is No. 99. As for the formation energy (no corrections): 0.436 eV/atom.

***

No. 8
# Be3Fe2

A PBEsol-optimized structure of Be3Fe2 (meta-GGA SCAN, Alexandria via LeMat-Bulk).

Cell: 9.4472 9.4472 9.4472 Å, 14.43 14.43 14.43°
Last column: nearest neighbours and their distance in Å.
Fractional coordinates of all 5 atoms:
Be  0.0000  0.0000  0.0000  6 Fe 2.32, 6 Be 2.37
Be  0.2004  0.2004  0.2004  3 Fe 2.31, 9 Be 2.33-2.37
Be  0.7996  0.7996  0.7996  3 Fe 2.31, 9 Be 2.33-2.37
Fe  0.4002  0.4002  0.4002  6 Be 2.31-2.32, 6 Fe 2.37
Fe  0.5998  0.5998  0.5998  6 Be 2.31-2.32, 6 Fe 2.37

Output
The space group is No. 166. As for the formation enthalpy at 0 K: 16 meV/atom.

***

No. 9
# YSbBr2

A PBEsol-optimized structure of YSbBr2 (meta-GGA SCAN, Alexandria via LeMat-Bulk).

Cell: 4.1099 4.1099 7.0075 Å, 90.00 90.00 90.00°
Last column: nearest neighbours and their distance in Å.
Fractional coordinates of all 4 atoms:
Y  0.0000  0.0000  0.0000  1 Br 2.77, 4 Sb 3.02
Sb  0.5000  0.5000  0.8839  1 Br 2.72, 4 Y 3.02
Br  0.0000  0.0000  0.6054  1 Y 2.77
Br  0.5000  0.5000  0.2720  1 Sb 2.72

Output
The space group is No. 99. As for the distance to the lowest polymorph of the same formula: 0.0 meV/atom. As for the formation energy (no corrections): -0.980 eV/atom.

***

No. 10
# Nb2B2Ir

A PBEsol-optimized structure of Nb2B2Ir (meta-GGA SCAN, Alexandria via LeMat-Bulk).

Cell: 5.7089 5.7089 3.6585 Å, 90.00 90.00 90.00°
Last column: nearest neighbours and their distance in Å.
Fractional coordinates of all 10 atoms:
Nb  0.1749  0.3251  0.0000  6 B 2.49
Nb  0.3251  0.8251  0.0000  6 B 2.49
Nb  0.6749  0.1749  0.0000  6 B 2.49
Nb  0.8251  0.6749  0.0000  6 B 2.49
B  0.1156  0.6156  0.5000  1 B 1.87
B  0.3844  0.1156  0.5000  1 B 1.87
B  0.6156  0.8844  0.5000  1 B 1.87
B  0.8844  0.3844  0.5000  1 B 1.87
Ir  0.0000  0.0000  0.5000  4 B 2.29
Ir  0.5000  0.5000  0.5000  4 B 2.29

Output
The space group is No. 127. As for the formation enthalpy at 0 K: -735 meV/atom.

***

No. 11
# ZrRu2Br

A PBEsol-optimized structure of ZrRu2Br (meta-GGA SCAN, Alexandria via LeMat-Bulk).

Cell: 5.3464 5.3464 5.3464 Å, 146.31 130.42 61.29°
Last column: nearest neighbours and their distance in Å.
Fractional coordinates of all 4 atoms:
Zr  0.0000  0.0000  0.0000  8 Ru 2.74-3.04, 2 Br 2.76
Ru  0.4737  0.4737  0.0000  2 Br 2.59, 4 Zr 2.74, 2 Ru 2.77
Ru  0.7230  0.2230  0.5000  4 Br 2.74, 2 Ru 2.77, 4 Zr 2.98-3.04
Br  0.2486  0.7486  0.5000  6 Ru 2.59-2.74, 2 Zr 2.76

Output
The space group is No. 44. As for the distance to the lowest polymorph of the same formula: 0.0 meV/atom. As for the formation energy (no corrections): 0.312 eV/atom.

***

No. 12
# NiAuC2

A PBEsol-optimized structure of NiAuC2 (meta-GGA SCAN, Alexandria via LeMat-Bulk).

Cell: 3.8261 3.8261 3.8261 Å, 60.00 60.00 60.00°
Last column: nearest neighbours and their distance in Å.
Fractional coordinates of all 4 atoms:
Ni  0.0000  0.0000  0.0000  8 C 2.34
Au  0.5000  0.5000  0.5000  8 C 2.34
C  0.2500  0.2500  0.2500  4 Au 2.34, 4 Ni 2.34
C  0.7500  0.7500  0.7500  4 Ni 2.34, 4 Au 2.34

Output
The space group is No. 225. As for the formation enthalpy at 0 K: 2154 meV/atom.